! TcMoBr2, optimized geometry, DFT PBE; values from VASP
&SYSTEM
  ibrav = 0, nat = 4, ntyp = 3
/
ATOMIC_SPECIES
Tc 98.00 Tc.upf
Mo 95.94 Mo.upf
Br 79.90 Br.upf
CELL_PARAMETERS angstrom
-1.601 1.636 8.984
1.601 -1.636 8.984
1.601 1.636 -8.984
ATOMIC_POSITIONS crystal
Tc 0.000 0.000 0.000
Mo 0.594 0.094 0.500
Br 0.191 0.691 0.500
Br 0.404 0.404 0.000
! symmetry: Imm2
! spin magnetization: 0.0 μB/cell
! ΔE_f (raw): 0.2997 eV/atom
! V: 23.54 Å³/atom
! offset from the most stable computed form: 338 meV per atom
! final energy: -5.84 eV per atom

***

! TcMoBr2, optimized geometry, DFT PBE; values from VASP
&SYSTEM
  ibrav = 0, nat = 4, ntyp = 3
/
ATOMIC_SPECIES
Tc 98.00 Tc.upf
Mo 95.94 Mo.upf
Br 79.90 Br.upf
CELL_PARAMETERS angstrom
2.995 -4.465 0.000
2.995 4.465 0.000
-1.417 0.000 2.847
ATOMIC_POSITIONS crystal
Tc 0.000 0.000 0.000
Mo 0.500 0.500 0.000
Br 0.000 0.500 0.000
Br 0.500 0.000 0.000
! symmetry: C2/m
! spin magnetization: 2.9 μB/cell
! ΔE_f (raw): 1.0516 eV/atom
! V: 19.03 Å³/atom
! offset from the most stable computed form: 1090 meV per atom
! final energy: -5.08 eV per atom

***

! TcMoBr2, optimized geometry, DFT PBE; values from VASP
&SYSTEM
  ibrav = 0, nat = 4, ntyp = 3
/
ATOMIC_SPECIES
Tc 98.00 Tc.upf
Mo 95.94 Mo.upf
Br 79.90 Br.upf
CELL_PARAMETERS angstrom
4.520 0.000 0.000
0.000 3.087 0.000
-2.096 0.000 4.912
ATOMIC_POSITIONS crystal
Tc 0.000 0.000 0.000
Mo 0.000 0.500 0.500
Br 0.500 0.000 0.500
Br 0.500 0.500 0.000
! symmetry: P2/m
! spin magnetization: 0.0 μB/cell
! ΔE_f (raw): 0.8587 eV/atom
! V: 17.14 Å³/atom
! offset from the most stable computed form: 897 meV per atom
! final energy: -5.28 eV per atom

***

! Tc4MoBr, optimized geometry, DFT PBE; values from VASP
&SYSTEM
  ibrav = 0, nat = 6, ntyp = 3
/
ATOMIC_SPECIES
Tc 98.00 Tc.upf
Mo 95.94 Mo.upf
Br 79.90 Br.upf
CELL_PARAMETERS angstrom
0.000 3.665 3.665
3.665 0.000 3.665
3.665 3.665 0.000
ATOMIC_POSITIONS crystal
Tc 0.125 0.125 0.125
Tc 0.125 0.125 0.625
Tc 0.125 0.625 0.125
Tc 0.625 0.125 0.125
Mo 0.500 0.500 0.500
Br 0.750 0.750 0.750
! symmetry: F-43m
! spin magnetization: 0.0 μB/cell
! ΔE_f (raw): 0.9128 eV/atom
! V: 16.41 Å³/atom
! final energy: -8.08 eV per atom

***

! TcMo2Br, optimized geometry, DFT PBE; values from VASP
&SYSTEM
  ibrav = 0, nat = 8, ntyp = 3
/
ATOMIC_SPECIES
Tc 98.00 Tc.upf
Mo 95.94 Mo.upf
Br 79.90 Br.upf
CELL_PARAMETERS angstrom
-2.961 2.961 5.173
2.961 -2.961 5.173
2.961 2.961 -5.173
ATOMIC_POSITIONS crystal
Tc 0.000 0.000 0.000
Tc 0.750 0.250 0.500
Mo 0.112 0.625 0.987
Mo 0.375 0.362 0.487
Mo 0.638 0.125 0.013
Mo 0.875 0.888 0.513
Br 0.250 0.750 0.500
Br 0.500 0.500 0.000
! symmetry: I-42d
! spin magnetization: 0.0 μB/cell
! ΔE_f (raw): 1.2825 eV/atom
! V: 22.68 Å³/atom
! offset from the most stable computed form: 875 meV per atom
! final energy: -7.14 eV per atom

***

! TcMo2Br, optimized geometry, DFT PBE; values from VASP
&SYSTEM
  ibrav = 0, nat = 4, ntyp = 3
/
ATOMIC_SPECIES
Tc 98.00 Tc.upf
Mo 95.94 Mo.upf
Br 79.90 Br.upf
CELL_PARAMETERS angstrom
3.154 0.000 0.000
0.000 3.108 0.000
-0.396 0.000 7.453
ATOMIC_POSITIONS crystal
Tc 0.000 0.000 0.000
Mo 0.048 0.000 0.401
Mo 0.527 0.500 0.186
Br 0.162 0.500 0.686
! symmetry: Pm
! spin magnetization: 0.0 μB/cell
! ΔE_f (raw): 0.4437 eV/atom
! V: 18.27 Å³/atom
! offset from the most stable computed form: 36 meV per atom
! final energy: -7.98 eV per atom

***

! TcMoBr, optimized geometry, DFT PBE; values from VASP
&SYSTEM
  ibrav = 0, nat = 3, ntyp = 3
/
ATOMIC_SPECIES
Tc 98.00 Tc.upf
Mo 95.94 Mo.upf
Br 79.90 Br.upf
CELL_PARAMETERS angstrom
0.000 2.700 6.565
1.601 0.000 6.565
1.601 2.700 0.000
ATOMIC_POSITIONS crystal
Tc 0.000 0.000 0.000
Mo 0.366 0.366 0.634
Br 0.690 0.690 0.310
! symmetry: Fmm2
! spin magnetization: 0.0 μB/cell
! ΔE_f (raw): 0.6265 eV/atom
! V: 18.92 Å³/atom
! offset from the most stable computed form: 274 meV per atom
! final energy: -7.00 eV per atom

***

! Tc2MoBr, optimized geometry, DFT PBE; values from VASP
&SYSTEM
  ibrav = 0, nat = 4, ntyp = 3
/
ATOMIC_SPECIES
Tc 98.00 Tc.upf
Mo 95.94 Mo.upf
Br 79.90 Br.upf
CELL_PARAMETERS angstrom
0.000 3.152 3.152
3.152 0.000 3.152
3.152 3.152 0.000
ATOMIC_POSITIONS crystal
Tc 0.000 0.000 0.000
Tc 0.250 0.250 0.250
Mo 0.500 0.500 0.500
Br 0.750 0.750 0.750
! symmetry: F-43m
! spin magnetization: 0.0 μB/cell
! ΔE_f (raw): 0.9378 eV/atom
! V: 15.66 Å³/atom
! offset from the most stable computed form: 467 meV per atom
! final energy: -7.37 eV per atom

***

! TcMo2Br, optimized geometry, DFT PBE; values from VASP
&SYSTEM
  ibrav = 0, nat = 4, ntyp = 3
/
ATOMIC_SPECIES
Tc 98.00 Tc.upf
Mo 95.94 Mo.upf
Br 79.90 Br.upf
CELL_PARAMETERS angstrom
2.682 -4.248 0.000
2.682 4.248 0.000
-0.940 0.000 2.833
ATOMIC_POSITIONS crystal
Tc 0.000 0.000 0.000
Mo 0.000 0.500 0.500
Mo 0.500 0.000 0.500
Br 0.500 0.500 0.000
! symmetry: C2/m
! spin magnetization: 0.0 μB/cell
! ΔE_f (raw): 0.8242 eV/atom
! V: 16.14 Å³/atom
! offset from the most stable computed form: 416 meV per atom
! final energy: -7.60 eV per atom

***

! TcMo2Br, optimized geometry, DFT PBE; values from VASP
&SYSTEM
  ibrav = 0, nat = 4, ntyp = 3
/
ATOMIC_SPECIES
Tc 98.00 Tc.upf
Mo 95.94 Mo.upf
Br 79.90 Br.upf
CELL_PARAMETERS angstrom
3.740 0.000 0.000
0.000 3.740 0.000
0.000 0.000 4.660
ATOMIC_POSITIONS crystal
Tc 0.000 0.000 0.000
Mo 0.000 0.500 0.500
Mo 0.500 0.000 0.500
Br 0.500 0.500 0.000
! symmetry: P4/mmm
! spin magnetization: 0.0 μB/cell
! ΔE_f (raw): 1.0898 eV/atom
! V: 16.29 Å³/atom
! offset from the most stable computed form: 682 meV per atom
! final energy: -7.34 eV per atom

***

! TcMoBr, optimized geometry, DFT PBE; values from VASP
&SYSTEM
  ibrav = 0, nat = 3, ntyp = 3
/
ATOMIC_SPECIES
Tc 98.00 Tc.upf
Mo 95.94 Mo.upf
Br 79.90 Br.upf
CELL_PARAMETERS angstrom
4.311 0.000 0.000
-2.156 3.734 0.000
0.000 0.000 3.004
ATOMIC_POSITIONS crystal
Tc 0.000 0.000 0.000
Mo 0.333 0.667 0.481
Br 0.667 0.333 0.246
! symmetry: P3m1
! spin magnetization: 0.0 μB/cell
! ΔE_f (raw): 0.7421 eV/atom
! V: 16.12 Å³/atom
! offset from the most stable computed form: 389 meV per atom
! final energy: -6.88 eV per atom

***

! TcMo2Br, optimized geometry, DFT PBE; values from VASP
&SYSTEM
  ibrav = 0, nat = 4, ntyp = 3
/
ATOMIC_SPECIES
Tc 98.00 Tc.upf
Mo 95.94 Mo.upf
Br 79.90 Br.upf
CELL_PARAMETERS angstrom
1.564 -2.408 0.000
1.564 2.408 0.000
0.000 0.000 8.978
ATOMIC_POSITIONS crystal
Tc 0.000 0.000 0.000
Mo 0.500 0.500 0.233
Mo 0.500 0.500 0.767
Br 0.000 0.000 0.500
! symmetry: Cmmm
! spin magnetization: 0.0 μB/cell
! ΔE_f (raw): 0.6665 eV/atom
! V: 16.90 Å³/atom
! offset from the most stable computed form: 259 meV per atom
! final energy: -7.76 eV per atom